First-principles (PBE-GGA) data for a geometry-optimized NpTiNb2 structure, as listed in the Alexandria database.

Summary:
* DFT formation energy: 0.2029 eV per atom
* mass density: 10.51 g/cm3
* calculated total energy: -40.16 eV for the cell shown
* crystal system: cubic
* E above lowest polymorph: 0 meV per atom

Geometry as extended XYZ:
```
4
Lattice="-2.557 -3.542 -1.788 0.528 -1.243 -4.522 2.079 -4.093 -1.095" Properties=species:S:1:pos:R:3 pbc="T T T"
Np 0.025 -4.439 -3.702
Nb 0.013 -2.220 -1.851
Nb 0.038 -6.659 -5.554
Ti 0.000 0.000 0.000
```